The following is a DFT calculation (PBEsol) of a relaxed ZrSbPd crystal.

SG   Pnma
Raw total energy   -7.3407 eV per atom

Cell lengths 4.3007, 6.7581, 7.9099 Å; angles 90.00, 90.00, 90.00 degrees
Closest atoms and distances in Å follow each position.
Fractional coordinates of all 12 atoms:
1 Pd 0.2500 0.6680 0.0740  4 Sb 2.61-2.71
2 Sb 0.7500 0.7310 0.8944  4 Pd 2.61-2.71
3 Pd 0.2500 0.1680 0.4260  4 Sb 2.61-2.71
4 Pd 0.7500 0.8320 0.5740  4 Sb 2.61-2.71
5 Sb 0.2500 0.2690 0.1056  4 Pd 2.61-2.71
6 Sb 0.7500 0.2310 0.6056  4 Pd 2.61-2.71
7 Sb 0.2500 0.7690 0.3944  4 Pd 2.61-2.71
8 Pd 0.7500 0.3320 0.9260  4 Sb 2.61-2.71
9 Zr 0.2500 0.0161 0.8043  5 Sb 2.93-3.03, 6 Pd 3.08-3.18
10 Zr 0.7500 0.4839 0.3043  5 Sb 2.93-3.03, 6 Pd 3.08-3.18
11 Zr 0.7500 0.9839 0.1957  5 Sb 2.93-3.03, 6 Pd 3.08-3.18
12 Zr 0.2500 0.5161 0.6957  5 Sb 2.93-3.03, 6 Pd 3.08-3.18

***

The following is a DFT calculation (PBEsol) of a relaxed Sc2Pd crystal.

ΔE_f   -0.66 eV/atom
SG   Fd-3m

Cell lengths 8.6975, 8.6975, 8.6975 Å; angles 60.00, 60.00, 60.00 degrees
Closest atoms and distances in Å follow each position.
Fractional coordinates of all 24 atoms:
1 Pd 0.9105 0.2684 0.9105  6 Sc 2.71-2.81
2 Sc 0.3157 0.6843 0.3157  2 Pd 2.81
3 Sc 0.9343 0.5657 0.5657  2 Pd 2.81
4 Sc 0.5657 0.5657 0.9343  2 Pd 2.81
5 Sc 0.3157 0.3157 0.6843  2 Pd 2.81
6 Pd 0.3395 0.3395 0.3395  6 Sc 2.71-2.81
7 Sc 0.6843 0.6843 0.3157  2 Pd 2.81
8 Sc 0.6843 0.3157 0.6843  2 Pd 2.81
9 Sc 0.5657 0.9343 0.5657  2 Pd 2.81
10 Sc 0.1250 0.1250 0.1250  6 Pd 2.71
11 Pd 0.3395 0.3395 0.9816  6 Sc 2.71-2.81
12 Pd 0.9816 0.3395 0.3395  6 Sc 2.71-2.81
13 Sc 0.6250 0.1250 0.1250  6 Pd 2.71
14 Pd 0.9105 0.9105 0.2684  6 Sc 2.71-2.81
15 Sc 0.9343 0.5657 0.9343  2 Pd 2.81
16 Sc 0.1250 0.1250 0.6250  6 Pd 2.71
17 Sc 0.1250 0.6250 0.1250  6 Pd 2.71
18 Sc 0.3157 0.6843 0.6843  2 Pd 2.81
19 Sc 0.6843 0.3157 0.3157  2 Pd 2.81
20 Pd 0.2684 0.9105 0.9105  6 Sc 2.71-2.81
21 Sc 0.5657 0.9343 0.9343  2 Pd 2.81
22 Pd 0.3395 0.9816 0.3395  6 Sc 2.71-2.81
23 Sc 0.9343 0.9343 0.5657  2 Pd 2.81
24 Pd 0.9105 0.9105 0.9105  6 Sc 2.71-2.81

***

The following is a DFT calculation (PBEsol) of a relaxed ScPd3 crystal.

ΔE_f   -0.86 eV/atom
SG   Pm-3m

Cell lengths 3.9383, 3.9383, 3.9383 Å; angles 90.00, 90.00, 90.00 degrees
Closest atoms and distances in Å follow each position.
Fractional coordinates of all 4 atoms:
1 Pd 0.5000 0.0000 0.5000  4 Sc 2.78, 8 Pd 2.78
2 Sc 0.0000 0.0000 0.0000  12 Pd 2.78
3 Pd 0.0000 0.5000 0.5000  4 Sc 2.78, 8 Pd 2.78
4 Pd 0.5000 0.5000 0.0000  4 Sc 2.78, 8 Pd 2.78

***

The following is a DFT calculation (PBEsol) of a relaxed Sc2Si2Pd crystal.

SG   P4/mbm
Raw total energy   -7.1260 eV per atom

Cell lengths 4.1455, 6.3101, 6.3101 Å; angles 90.00, 90.00, 90.00 degrees
Closest atoms and distances in Å follow each position.
Fractional coordinates of all 10 atoms:
1 Sc 0.5000 0.3307 0.1693  6 Si 2.71-2.83, 1 Sc 3.02
2 Sc 0.5000 0.8307 0.3307  6 Si 2.71-2.83, 1 Sc 3.02
3 Si 0.0000 0.8647 0.6353  1 Si 2.41, 2 Pd 2.45
4 Si 0.0000 0.6353 0.1353  1 Si 2.41, 2 Pd 2.45
5 Sc 0.5000 0.1693 0.6693  6 Si 2.71-2.83, 1 Sc 3.02
6 Sc 0.5000 0.6693 0.8307  6 Si 2.71-2.83, 1 Sc 3.02
7 Pd 0.0000 0.5000 0.5000  4 Si 2.45
8 Pd 0.0000 0.0000 0.0000  4 Si 2.45
9 Si 0.0000 0.3647 0.8647  1 Si 2.41, 2 Pd 2.45
10 Si 0.0000 0.1353 0.3647  1 Si 2.41, 2 Pd 2.45

***

The following is a DFT calculation (PBEsol) of a relaxed ScSnPd3 crystal.

ΔE_f   0.22 eV/atom
SG   Pm-3m

Cell lengths 4.8126, 4.8126, 4.8126 Å; angles 90.00, 90.00, 90.00 degrees
Closest atoms and distances in Å follow each position.
Fractional coordinates of all 5 atoms:
1 Sc 0.5000 0.5000 0.5000  12 Pd 3.40
2 Pd 0.0000 0.5000 0.0000  2 Sn 2.41
3 Sn 0.0000 0.0000 0.0000  6 Pd 2.41
4 Pd 0.5000 0.0000 0.0000  2 Sn 2.41
5 Pd 0.0000 0.0000 0.5000  2 Sn 2.41

***

The following is a DFT calculation (PBEsol) of a relaxed ScZnSnPd2 crystal.

ΔE_f   0.47 eV/atom
SG   P4/mmm

Cell lengths 4.7167, 4.7167, 4.9909 Å; angles 90.00, 90.00, 90.00 degrees
Closest atoms and distances in Å follow each position.
Fractional coordinates of all 5 atoms:
1 Zn 0.0000 0.0000 0.5000  2 Sc 2.50
2 Pd 0.0000 0.5000 0.0000  2 Sc 2.36
3 Sc 0.0000 0.0000 0.0000  4 Pd 2.36, 2 Zn 2.50
4 Pd 0.5000 0.0000 0.0000  2 Sc 2.36
5 Sn 0.5000 0.5000 0.5000  4 Zn 3.34, 8 Pd 3.43

***

What magnetic moment values result from the calculations? In sequence: 0.00, 0.00, 0.00, 0.00, 0.00, 0.00 μB per cell.